(1)
The following is a PBE calculation of NdGa2Rh5 after structural relaxation, from Alexandria via LeMat-Bulk.

Raw total energy ... -6.4224 eV per atom
DFT formation energy ... -475 meV per atom
SG ... Immm
DOS(E_F) ... 9.147 states/eV/f.u.

a b c (Å): 3.855 6.441 6.441
angles (deg): 65.58 72.59 72.59
Fractional positions:
Ga 0.243 0.257 0.257
Ga 0.757 0.743 0.743
Rh 0.363 0.833 0.441
Rh 0.000 0.500 0.500
Rh 0.637 0.167 0.559
Rh 0.637 0.559 0.167
Rh 0.363 0.441 0.833
Nd 0.000 0.000 0.000

=====

(2)
The following is a PBE calculation of Nd2GaRh after structural relaxation, from Alexandria via LeMat-Bulk.

Raw total energy ... -5.5662 eV per atom
DFT formation energy ... -588 meV per atom
SG ... P4/mmm
DOS(E_F) ... 2.665 states/eV/f.u.

a b c (Å): 3.672 3.672 7.038
angles (deg): 90.00 90.00 90.00
Fractional positions:
Rh 0.500 0.500 0.000
Ga 0.500 0.500 0.500
Nd 0.000 0.000 0.236
Nd 0.000 0.000 0.764